Na3NpNi2O6: relaxed, PBE with a Hubbard U.

POSCAR file:
```
Na3NpNi2O6
1.0
5.460 -0.008 0.018
-2.735 4.725 0.018
-0.907 -1.570 5.488
Na Np Ni O
3 1 2 6
Direct
0.176 0.824 0.500
0.824 0.176 0.500
0.500 0.500 0.500
0.000 0.000 0.000
0.333 0.667 0.000
0.667 0.333 0.000
0.930 0.597 0.790
0.737 0.737 0.211
0.070 0.403 0.210
0.597 0.930 0.790
0.263 0.263 0.789
0.403 0.070 0.210
```

Results
The calculation puts the final energy at -0.2268 hartree per atom. The value obtained for the density is 6.1 Mg/m³. Its space group is C2/m, No. 12.